DFT (PBEsol) results for crystalline Ba5Cd at its relaxed geometry.

Calculated values
Magnetic moment = 0.0000 μB/atom
ΔH_f (0 K) = -87.7 meV/atom

Unit cell a=4.2688 b=7.6720 c=10.3878 alpha=68.78 beta=78.14 gamma=73.85
With the nearest neighbours (Å) after each atom.
Element x y z (fractional)
1 Ba 0.0632 0.8940 0.9796  2 Cd 3.50
2 Ba 0.6946 0.9997 0.6111  12 Ba 4.16-4.58
3 Ba 0.3256 0.1063 0.2425  2 Cd 3.50
4 Ba 0.3583 0.4519 0.8314  2 Cd 3.66, 1 Ba 4.01
5 Ba 0.0305 0.5480 0.3911  2 Cd 3.67, 1 Ba 4.01
6 Cd 0.6944 0.5001 0.1110  8 Ba 3.50-3.67

***

DFT (PBEsol) results for crystalline ScTc2Hg at its relaxed geometry.

Calculated values
Magnetic moment = 0.0001 μB/atom
ΔH_f (0 K) = 348.3 meV/atom

Unit cell a=2.7771 b=2.7771 c=9.0540 alpha=90.00 beta=90.00 gamma=108.77
With the nearest neighbours (Å) after each atom.
Element x y z (fractional)
1 Hg 0.5000 0.5000 0.5000  4 Hg 2.78, 4 Tc 2.84
2 Sc 0.5000 0.5000 0.0000  4 Tc 2.73, 4 Sc 2.78
3 Tc 0.0000 0.0000 0.2424  2 Sc 2.73, 4 Tc 2.78, 2 Hg 2.84
4 Tc 0.0000 0.0000 0.7576  2 Sc 2.73, 4 Tc 2.78, 2 Hg 2.84

***

DFT (PBEsol) results for crystalline Zr5Ni at its relaxed geometry.

Calculated values
Magnetic moment = 0.0000 μB/atom
ΔH_f (0 K) = -111.3 meV/atom

Unit cell a=3.1736 b=5.5712 c=7.5596 alpha=107.51 beta=90.00 gamma=106.55
With the nearest neighbours (Å) after each atom.
Element x y z (fractional)
1 Ni 0.9864 0.9728 0.9883  6 Zr 2.61-2.64
2 Zr 0.7103 0.4205 0.3616  10 Zr 3.00-3.27
3 Zr 0.3423 0.6846 0.7302  2 Ni 2.61
4 Zr 0.4142 0.8285 0.2150  2 Ni 2.62
5 Zr 0.0397 0.0794 0.5869  12 Zr 3.07-3.39, 1 Ni 3.26
6 Zr 0.6738 0.3475 0.9513  2 Ni 2.64

***

DFT (PBEsol) results for crystalline In5Hg4 at its relaxed geometry.

Calculated values
Magnetic moment = 0.0001 μB/atom
ΔH_f (0 K) = -2.9 meV/atom

Unit cell a=4.5634 b=7.2575 c=7.2575 alpha=84.33 beta=71.68 gamma=71.68
With the nearest neighbours (Å) after each atom.
Element x y z (fractional)
1 Hg 0.0000 0.6656 0.3344  5 Hg 3.23, 7 In 3.23-3.26
2 Hg 0.0000 0.3344 0.6656  5 Hg 3.23, 7 In 3.23-3.26
3 Hg 0.6656 0.3344 0.3344  5 Hg 3.23, 7 In 3.23-3.26
4 Hg 0.3344 0.6656 0.6656  5 Hg 3.23, 7 In 3.23-3.26
5 In 0.0000 0.0000 0.0000  8 In 3.26, 4 Hg 3.26
6 In 0.6686 0.0000 0.6627  6 In 3.20-3.29, 6 Hg 3.23-3.24
7 In 0.3314 0.0000 0.3372  6 In 3.20-3.29, 6 Hg 3.23-3.24
8 In 0.6686 0.6627 0.0000  6 In 3.20-3.29, 6 Hg 3.23-3.24
9 In 0.3314 0.3372 0.0000  6 In 3.20-3.29, 6 Hg 3.23-3.24

***

DFT (PBEsol) results for crystalline AlRe2Si at its relaxed geometry.

Calculated values
Magnetic moment = 0.0001 μB/atom
Calculated total energy = -0.68255 Ry per atom

Unit cell a=2.9810 b=2.9810 c=6.0841 alpha=90.00 beta=90.00 gamma=90.00
With the nearest neighbours (Å) after each atom.
Element x y z (fractional)
1 Re 0.0000 0.0000 0.7700  4 Si 2.53, 4 Al 2.67, 1 Re 2.80
2 Re 0.0000 0.0000 0.2300  4 Si 2.53, 4 Al 2.67, 1 Re 2.80
3 Si 0.5000 0.5000 0.0000  8 Re 2.53
4 Al 0.5000 0.5000 0.5000  8 Re 2.67, 4 Al 2.98

***

DFT (PBEsol) results for crystalline LaWCl3 at its relaxed geometry.

Calculated values
Magnetic moment = 1.1980 μB/atom
Calculated total energy = -0.37691 Ry per atom

Unit cell a=5.4909 b=5.4909 c=5.4909 alpha=90.00 beta=90.00 gamma=90.00
With the nearest neighbours (Å) after each atom.
Element x y z (fractional)
1 Cl 0.0000 0.5000 0.0000  2 La 2.75
2 Cl 0.0000 0.0000 0.5000  2 La 2.75
3 Cl 0.5000 0.0000 0.0000  2 La 2.75
4 W 0.5000 0.5000 0.5000  12 Cl 3.88
5 La 0.0000 0.0000 0.0000  6 Cl 2.75

***

DFT (PBEsol) results for crystalline Te2PbSe at its relaxed geometry.

Calculated values
Magnetic moment = 0.0000 μB/atom
Calculated total energy = -0.27738 Ry per atom

Unit cell a=4.0248 b=4.3530 c=7.2526 alpha=107.46 beta=106.11 gamma=90.00
With the nearest neighbours (Å) after each atom.
Element x y z (fractional)
1 Pb 0.0000 0.5000 0.0000  4 Se 2.96
2 Se 0.5000 0.0000 0.0000  4 Pb 2.96
3 Te 0.7200 0.7200 0.4400  4 Te 3.07
4 Te 0.2800 0.2800 0.5600  4 Te 3.07

***

DFT (PBEsol) results for crystalline Tb10Mn13C18 at its relaxed geometry.

Calculated values
Magnetic moment = 0.1231 μB/atom
ΔH_f (0 K) = -354.9 meV/atom

Unit cell a=8.6500 b=8.6500 c=8.6500 alpha=109.47 beta=109.47 gamma=109.47
With the nearest neighbours (Å) after each atom.
Element x y z (fractional)
1 Tb 0.5000 0.7500 0.2500  8 C 2.46-2.59
2 Tb 0.2500 0.5000 0.7500  8 C 2.46-2.59
3 Tb 0.7500 0.2500 0.5000  8 C 2.46-2.59
4 Tb 0.7500 0.5000 0.2500  8 C 2.46-2.59
5 Tb 0.5000 0.2500 0.7500  8 C 2.46-2.59
6 Tb 0.2500 0.7500 0.5000  8 C 2.46-2.59
7 Tb 0.5902 0.5902 0.5902  6 C 2.53-2.63
8 Tb 0.0000 0.0000 0.4098  6 C 2.53-2.63
9 Tb 0.0000 0.4098 0.0000  6 C 2.53-2.63
10 Tb 0.4098 0.0000 0.0000  6 C 2.53-2.63
11 Mn 0.0000 0.0000 0.0000  12 Mn 2.77
12 Mn 0.3318 0.3318 0.1523  3 C 1.84-2.05
13 Mn 0.1523 0.3318 0.3318  3 C 1.84-2.05
14 Mn 0.3318 0.1523 0.3318  3 C 1.84-2.05
15 Mn 0.1795 0.1795 0.8477  3 C 1.84-2.05
16 Mn 0.0000 0.8205 0.6682  3 C 1.84-2.05
17 Mn 0.8205 0.0000 0.6682  3 C 1.84-2.05
18 Mn 0.8205 0.6682 0.0000  3 C 1.84-2.05
19 Mn 0.0000 0.6682 0.8205  3 C 1.84-2.05
20 Mn 0.1795 0.8477 0.1795  3 C 1.84-2.05
21 Mn 0.6682 0.8205 0.0000  3 C 1.84-2.05
22 Mn 0.8477 0.1795 0.1795  3 C 1.84-2.05
23 Mn 0.6682 0.0000 0.8205  3 C 1.84-2.05
24 C 0.2944 0.2944 0.5131  2 Mn 1.84
25 C 0.5131 0.2944 0.2944  2 Mn 1.84
26 C 0.2944 0.5131 0.2944  2 Mn 1.84
27 C 0.7813 0.7813 0.4869  2 Mn 1.84
28 C 0.0000 0.2187 0.7056  2 Mn 1.84
29 C 0.2187 0.0000 0.7056  2 Mn 1.84
30 C 0.2187 0.7056 0.0000  2 Mn 1.84
31 C 0.0000 0.7056 0.2187  2 Mn 1.84
32 C 0.7813 0.4869 0.7813  2 Mn 1.84
33 C 0.7056 0.2187 0.0000  2 Mn 1.84
34 C 0.4869 0.7813 0.7813  2 Mn 1.84
35 C 0.7056 0.0000 0.2187  2 Mn 1.84
36 C 0.4304 0.4304 0.0000  1 C 1.39
37 C 0.0000 0.4304 0.4304  1 C 1.39
38 C 0.4304 0.0000 0.4304  1 C 1.39
39 C 0.0000 0.5696 0.5696  1 C 1.39
40 C 0.5696 0.0000 0.5696  1 C 1.39
41 C 0.5696 0.5696 0.0000  1 C 1.39

***

no.,D(E_F) (states/eV/f.u.)
1,7.026
2,4.654
3,6.445
4,4.808
5,2.668
6,6.037
7,2.304
8,14.591